Density functional theory data (PBEsol) for a relaxed structure of TaHg2Pt.

a = 2.951 Å, b = 4.968 Å, c = 5.189 Å
α = 99.46°, β = 90.00°, γ = 107.28°
Atoms (fractional coordinates):
Ta 0.500 0.000 0.000
Hg 0.250 0.501 0.253
Pt 0.000 0.000 0.500
Hg 0.750 0.499 0.747

Calculated values
Space-group type   C2/m, No. 12
Energy of formation   0.134 eV per atom
D(E_F)   2.53 states/eV/cell


Density functional theory data (PBEsol) for a relaxed structure of Mn2CuHg.

a = 3.891 Å, b = 3.891 Å, c = 4.721 Å
α = 114.33°, β = 114.33°, γ = 90.00°
Last column: magnetic moment on the atom in μB.
Atoms (fractional coordinates):
Cu 0.500 0.500 0.000  0.10
Mn 0.750 0.250 0.500  3.39
Mn 0.250 0.750 0.500  3.39
Hg 0.000 0.000 0.000  -0.04

Calculated values
Space-group type   I4/mmm, No. 139
Energy of formation   0.376 eV per atom
D(E_F)   3.67 states/eV/cell


Density functional theory data (PBEsol) for a relaxed structure of GePPtO2.

a = 3.841 Å, b = 3.841 Å, c = 4.900 Å
α = 90.00°, β = 90.00°, γ = 90.00°
Last column: magnetic moment on the atom in μB.
Atoms (fractional coordinates):
P 0.000 0.000 0.500  0.01
O 0.000 0.500 0.000  0.15
Ge 0.500 0.500 0.500  0.00
Pt 0.000 0.000 0.000  0.23
O 0.500 0.000 0.000  0.15

Calculated values
Formation energy from raw total energies   0.14 eV/atom
Space-group type   P4/mmm, No. 123
D(E_F)   4.75 states/eV/cell


Density functional theory data (PBEsol) for a relaxed structure of Cr2C.

a = 2.760 Å, b = 2.760 Å, c = 4.605 Å
α = 72.56°, β = 72.56°, γ = 60.00°
Atoms (fractional coordinates):
Cr 0.248 0.248 0.255
Cr 0.752 0.752 0.745
C 0.000 0.000 0.000

Calculated values
Space-group type   R-3m, No. 166
Energy of formation   -0.087 eV per atom
D(E_F)   2.53 states/eV/cell


Density functional theory data (PBEsol) for a relaxed structure of CoPRu2.

a = 2.807 Å, b = 4.078 Å, c = 4.823 Å
α = 115.01°, β = 106.92°, γ = 90.00°
Atoms (fractional coordinates):
Co 0.538 0.539 0.077
Ru 0.970 0.971 0.941
P 0.240 0.740 0.480
Ru 0.751 0.251 0.502

Calculated values
Space-group type   Imm2, No. 44
Energy of formation   -0.210 eV per atom
D(E_F)   4.64 states/eV/cell


Density functional theory data (PBEsol) for a relaxed structure of Mg2ScNi.

a = 3.906 Å, b = 3.906 Å, c = 4.644 Å
α = 90.00°, β = 90.00°, γ = 90.00°
Atoms (fractional coordinates):
Sc 0.000 0.000 0.500
Ni 0.500 0.500 0.500
Mg 0.000 0.500 0.000
Mg 0.500 0.000 0.000

Calculated values
Space-group type   P4/mmm, No. 123
Energy of formation   -0.060 eV per atom
D(E_F)   2.54 states/eV/cell


Density functional theory data (PBEsol) for a relaxed structure of CoMoCl2.

a = 5.120 Å, b = 5.120 Å, c = 6.265 Å
α = 114.11°, β = 114.11°, γ = 90.00°
Last column: magnetic moment on the atom in μB.
Atoms (fractional coordinates):
Cl 0.403 0.875 0.250  0.01
Cl 0.125 0.153 0.750  0.01
Cl 0.625 0.597 0.750  0.01
Cl 0.847 0.375 0.250  0.01
Mo 0.250 0.750 0.500  0.03
Mo 0.000 0.000 0.000  0.03
Co 0.500 0.500 0.000  0.23
Co 0.750 0.250 0.500  0.23

Calculated values
Formation energy from raw total energies   0.54 eV/atom
E above lowest polymorph   34.5 kJ per mole of atoms
Space-group type   I-42d, No. 122
D(E_F)   8.38 states/eV/cell


Density functional theory data (PBEsol) for a relaxed structure of BaAl8.

a = 4.383 Å, b = 6.796 Å, c = 6.796 Å
α = 84.03°, β = 71.19°, γ = 71.19°
Atoms (fractional coordinates):
Al 0.000 0.647 0.353
Al 0.309 0.382 0.000
Al 0.647 0.353 0.353
Ba 0.000 0.000 0.000
Al 0.691 0.618 0.000
Al 0.691 0.000 0.618
Al 0.309 0.000 0.382
Al 0.000 0.353 0.647
Al 0.353 0.647 0.647

Calculated values
Space-group type   I4/mmm, No. 139
Energy of formation   0.064 eV per atom
D(E_F)   3.42 states/eV/cell


Density functional theory data (PBEsol) for a relaxed structure of HgPt2Br.

a = 4.175 Å, b = 4.175 Å, c = 5.032 Å
α = 114.50°, β = 114.50°, γ = 90.00°
Atoms (fractional coordinates):
Pt 0.250 0.750 0.500
Pt 0.750 0.250 0.500
Hg 0.000 0.000 0.000
Br 0.500 0.500 0.000

Calculated values
Formation energy from raw total energies   0.53 eV/atom
E above lowest polymorph   27.8 kJ per mole of atoms
Space-group type   I4/mmm, No. 139
D(E_F)   4.89 states/eV/cell


Density functional theory data (PBEsol) for a relaxed structure of TaPtRh.

a = 2.812 Å, b = 3.814 Å, c = 4.855 Å
α = 113.13°, β = 106.83°, γ = 90.00°
Atoms (fractional coordinates):
Ta 0.330 0.330 0.660
Rh 0.670 0.670 0.341
Pt 0.000 0.000 0.999

Calculated values
E above lowest polymorph   0.0 kJ per mole of atoms
Space-group type   Imm2, No. 44
Energy of formation   -0.615 eV per atom
D(E_F)   1.99 states/eV/cell


Density functional theory data (PBEsol) for a relaxed structure of Tl2CuNi.

a = 3.044 Å, b = 4.276 Å, c = 6.109 Å
α = 110.48°, β = 104.42°, γ = 90.00°
Atoms (fractional coordinates):
Cu 0.561 0.561 0.122
Tl 0.738 0.238 0.477
Ni 0.241 0.741 0.481
Tl 0.960 0.960 0.920

Calculated values
Space-group type   Imm2, No. 44
Energy of formation   0.265 eV per atom
D(E_F)   1.87 states/eV/cell


Density functional theory data (PBEsol) for a relaxed structure of ScTc2Os.

a = 2.781 Å, b = 2.781 Å, c = 7.937 Å
α = 90.00°, β = 90.00°, γ = 90.00°
Atoms (fractional coordinates):
Sc 0.500 0.500 0.743
Os 0.000 0.000 0.476
Tc 0.000 0.000 0.022
Tc 0.500 0.500 0.259

Calculated values
E above lowest polymorph   6.7 kJ per mole of atoms
Space-group type   P4mm, No. 99
Energy of formation   0.030 eV per atom
D(E_F)   3.50 states/eV/cell